[1]
GGA-PBE YZnGe2, optimized geometry; formation energy = -0.171 eV/atom
1.0
4.604 0.000 0.000
0.000 4.604 0.000
0.000 0.000 17.242
Y Zn Ge
4 4 8
Direct
0.000 0.000 0.000 Y
0.000 0.500 0.250 Y
0.500 0.000 0.750 Y
0.500 0.500 0.500 Y
0.000 0.000 0.500 Zn
0.000 0.500 0.750 Zn
0.500 0.000 0.250 Zn
0.500 0.500 0.000 Zn
0.151 0.250 0.625 Ge
0.250 0.651 0.875 Ge
0.250 0.849 0.375 Ge
0.349 0.250 0.125 Ge
0.651 0.750 0.125 Ge
0.750 0.151 0.375 Ge
0.750 0.349 0.875 Ge
0.849 0.750 0.625 Ge

---

[2]
GGA-PBE Y3Zn3Ge, optimized geometry; formation energy = -0.473 eV/atom
1.0
4.007 0.000 0.000
0.000 4.201 0.000
0.000 0.000 18.796
Y Zn Ge
6 6 2
Direct
0.000 0.000 0.000 Y
0.000 0.000 0.375 Y
0.000 0.500 0.195 Y
0.500 0.000 0.695 Y
0.500 0.500 0.500 Y
0.500 0.500 0.875 Y
0.000 0.000 0.547 Zn
0.000 0.000 0.833 Zn
0.000 0.500 0.623 Zn
0.500 0.000 0.123 Zn
0.500 0.500 0.047 Zn
0.500 0.500 0.333 Zn
0.000 0.500 0.754 Ge
0.500 0.000 0.254 Ge

---

[3]
GGA-PBE YZn3Ge, optimized geometry; formation energy = 0.219 eV/atom; excess energy over the best structure of this formula in the dataset = 0 meV per atom
1.0
4.804 0.000 0.000
0.000 4.804 0.000
0.000 0.000 4.804
Y Zn Ge
1 3 1
Direct
0.000 0.000 0.000 Y
0.000 0.500 0.500 Zn
0.500 0.000 0.500 Zn
0.500 0.500 0.000 Zn
0.500 0.500 0.500 Ge

---

[4]
GGA-PBE YZnGe3, optimized geometry; formation energy = 0.800 eV/atom
1.0
5.467 0.000 0.000
0.000 5.467 0.000
0.000 0.000 5.467
Y Zn Ge
1 1 3
Direct
0.000 0.000 0.000 Y
0.500 0.500 0.500 Zn
0.000 0.000 0.500 Ge
0.000 0.500 0.000 Ge
0.500 0.000 0.000 Ge

---

[5]
GGA-PBE Y3ZnGe2, optimized geometry; formation energy = -0.736 eV/atom
1.0
11.487 0.000 0.000
0.000 4.225 0.000
0.000 0.000 11.589
Y Zn Ge
12 4 8
Direct
0.056 0.250 0.123 Y
0.128 0.750 0.564 Y
0.204 0.250 0.803 Y
0.296 0.750 0.303 Y
0.372 0.250 0.064 Y
0.444 0.750 0.623 Y
0.556 0.250 0.377 Y
0.628 0.750 0.936 Y
0.704 0.250 0.697 Y
0.796 0.750 0.197 Y
0.872 0.250 0.436 Y
0.944 0.750 0.877 Y
0.137 0.250 0.363 Zn
0.363 0.750 0.863 Zn
0.637 0.250 0.137 Zn
0.863 0.750 0.637 Zn
0.019 0.750 0.319 Ge
0.185 0.750 0.000 Ge
0.315 0.250 0.500 Ge
0.481 0.250 0.819 Ge
0.519 0.750 0.181 Ge
0.685 0.750 0.500 Ge
0.815 0.250 0.000 Ge
0.981 0.250 0.681 Ge

---

[6]
GGA-PBE YZn2Ge2, optimized geometry; formation energy = -0.194 eV/atom
1.0
7.630 0.000 0.000
0.000 7.630 0.000
0.000 0.000 3.269
Y Zn Ge
2 4 4
Direct
0.000 0.000 0.000 Y
0.500 0.500 0.000 Y
0.117 0.383 0.000 Zn
0.383 0.883 0.000 Zn
0.617 0.117 0.000 Zn
0.883 0.617 0.000 Zn
0.180 0.680 0.500 Ge
0.320 0.180 0.500 Ge
0.680 0.820 0.500 Ge
0.820 0.320 0.500 Ge